# 1
VASP calculation (GGA-PBE) on a geometry-optimized Mg2ZrPa structure.

Calculated values
As for the calculated volume: 94.5 Å³/f.u. As for the symmetry: No. 160. The total DFT energy (no corrections) comes out at -5.2501 eV per atom. As for the formation energy from the elements: 0.058 eV/atom. The energy relative to the lowest polymorph listed for this composition comes out at 0 meV/atom.

Unit cell a=11.133 b=11.133 c=11.133 alpha=16.27 beta=16.27 gamma=16.27
Element x y z (fractional)
Mg 0.000 0.000 0.000
Mg 0.414 0.414 0.414
Zr 0.585 0.585 0.585
Pa 0.834 0.834 0.834

# 2
VASP calculation (GGA-PBE) on a geometry-optimized Zn2Tc structure.

Calculated values
As for the calculated volume: 43.7 Å³/f.u. As for the symmetry: No. 12. The total DFT energy (no corrections) comes out at -4.2301 eV per atom. As for the formation energy from the elements: 0.074 eV/atom. The energy relative to the lowest polymorph listed for this composition comes out at 75 meV/atom.

Unit cell a=5.314 b=5.314 c=6.253 alpha=102.81 beta=102.81 gamma=30.54
Element x y z (fractional)
Zn 0.132 0.132 0.022
Zn 0.203 0.203 0.644
Zn 0.797 0.797 0.356
Zn 0.868 0.868 0.978
Tc 0.475 0.475 0.676
Tc 0.525 0.525 0.324

# 3
VASP calculation (GGA-PBE) on a geometry-optimized YScUO6 structure.

Calculated values
As for the calculated volume: 127.9 Å³/f.u. As for the symmetry: No. 163. The uncorrected formation energy is -3353 meV per atom. The total DFT energy (no corrections) comes out at -9.3345 eV per atom.

Unit cell a=5.564 b=5.564 c=9.540 alpha=90.00 beta=90.00 gamma=120.00
Element x y z (fractional)
Y 0.000 0.000 0.000
Y 0.000 0.000 0.500
Sc 0.333 0.667 0.250
Sc 0.667 0.333 0.750
U 0.333 0.667 0.750
U 0.667 0.333 0.250
O 0.005 0.351 0.637
O 0.005 0.654 0.863
O 0.346 0.351 0.863
O 0.346 0.995 0.637
O 0.351 0.005 0.137
O 0.351 0.346 0.363
O 0.649 0.654 0.637
O 0.649 0.995 0.863
O 0.654 0.005 0.363
O 0.654 0.649 0.137
O 0.995 0.346 0.137
O 0.995 0.649 0.363

# 4
VASP calculation (GGA-PBE) on a geometry-optimized Ga2CoSbS structure.

Calculated values
As for the calculated volume: 121.8 Å³/f.u. As for the symmetry: No. 123. The uncorrected formation energy is 827 meV per atom. The total DFT energy (no corrections) comes out at -3.4552 eV per atom.

Unit cell a=4.836 b=4.836 c=5.209 alpha=90.00 beta=90.00 gamma=90.00
Element x y z (fractional)
Ga 0.000 0.500 0.000
Ga 0.500 0.000 0.000
Co 0.000 0.000 0.500
Sb 0.500 0.500 0.500
S 0.500 0.500 0.000

# 5
VASP calculation (GGA-PBE) on a geometry-optimized MgP2SCl structure.

Calculated values
As for the calculated volume: 113.5 Å³/f.u. As for the symmetry: No. 123. The uncorrected formation energy is 824 meV per atom. The total DFT energy (no corrections) comes out at -2.8532 eV per atom. The energy relative to the lowest polymorph listed for this composition comes out at 327 meV/atom.

Unit cell a=4.963 b=4.963 c=4.610 alpha=90.00 beta=90.00 gamma=90.00
Element x y z (fractional)
Mg 0.000 0.000 0.000
P 0.000 0.500 0.000
P 0.500 0.000 0.000
S 0.000 0.000 0.500
Cl 0.500 0.500 0.500

# 6
VASP calculation (GGA-PBE) on a geometry-optimized RbVSbCl6 structure.

Calculated values
As for the calculated volume: 292.1 Å³/f.u. As for the symmetry: No. 149. The uncorrected formation energy is -1220 meV per atom. The total DFT energy (no corrections) comes out at -4.0297 eV per atom.

Unit cell a=6.795 b=6.795 c=7.303 alpha=90.00 beta=90.00 gamma=120.00
Element x y z (fractional)
Rb 0.000 0.000 0.000
V 0.667 0.333 0.500
Sb 0.333 0.667 0.500
Cl 0.383 0.022 0.301
Cl 0.383 0.361 0.699
Cl 0.639 0.022 0.699
Cl 0.639 0.617 0.301
Cl 0.978 0.361 0.301
Cl 0.978 0.617 0.699

# 7
VASP calculation (GGA-PBE) on a geometry-optimized CaCu2F6 structure.

Calculated values
As for the calculated volume: 114.3 Å³/f.u. As for the symmetry: No. 12. The uncorrected formation energy is -2261 meV per atom. The total DFT energy (no corrections) comes out at -4.6413 eV per atom. The energy relative to the lowest polymorph listed for this composition comes out at 41 meV/atom.

Unit cell a=6.961 b=6.961 c=4.260 alpha=107.74 beta=107.74 gamma=35.78
Element x y z (fractional)
Ca 0.000 0.000 0.000
Cu 0.250 0.250 0.750
Cu 0.750 0.750 0.250
F 0.100 0.100 0.601
F 0.243 0.243 0.243
F 0.400 0.400 0.899
F 0.600 0.600 0.101
F 0.757 0.757 0.757
F 0.900 0.900 0.399

# 8
VASP calculation (GGA-PBE) on a geometry-optimized ZrScTc structure.

Calculated values
As for the calculated volume: 65.6 Å³/f.u. As for the symmetry: No. 160. The total DFT energy (no corrections) comes out at -8.3818 eV per atom. As for the formation energy from the elements: 0.033 eV/atom. The energy relative to the lowest polymorph listed for this composition comes out at 262 meV/atom.

Unit cell a=4.525 b=4.525 c=4.525 alpha=60.08 beta=60.08 gamma=60.08
Element x y z (fractional)
Zr 0.000 0.000 0.000
Sc 0.500 0.500 0.500
Tc 0.750 0.750 0.750

# 9
VASP calculation (GGA-PBE) on a geometry-optimized Pu2Te2S7 structure.

Calculated values
As for the calculated volume: 255.1 Å³/f.u. As for the symmetry: No. 44. The uncorrected formation energy is -647 meV per atom. The total DFT energy (no corrections) comes out at -6.4505 eV per atom.

Unit cell a=8.906 b=8.906 c=8.906 alpha=154.48 beta=64.06 gamma=122.34
Element x y z (fractional)
Pu 0.000 0.000 0.000
Pu 0.529 0.029 0.500
Te 0.046 0.320 0.726
Te 0.595 0.320 0.274
S 0.176 0.548 0.628
S 0.258 0.946 0.312
S 0.316 0.316 0.000
S 0.619 0.719 0.900
S 0.634 0.946 0.688
S 0.819 0.719 0.100
S 0.920 0.548 0.372